Below is crystalline AcTbIrRh at its relaxed geometry, with properties calculated at the PBE level.

**Calculated formation energy**: -0.60 eV/atom
**Volume**: 23.0 A^3/atom

```
4
Lattice="0.000 3.582 3.582 3.582 0.000 3.582 3.582 3.582 0.000" Properties=species:S:1:pos:R:3 pbc="T T T"
Ac 0.000 0.000 0.000
Tb 3.582 3.582 3.582
Ir 1.791 1.791 1.791
Rh 5.373 5.373 5.373
```